The following is a PBE-GGA calculation of a relaxed In2NiHg crystal, from Alexandria.

Cell and atoms, written as extended XYZ:
```
4
Lattice="-2.354 3.620 -2.106 -3.132 -1.961 3.070 1.166 2.309 2.665" Properties=species:S:1:pos:R:3 pbc="T T T"
Hg -0.983 0.174 2.868
In 0.000 0.000 0.000
In -2.743 0.829 0.482
Ni -0.594 2.965 0.280
```

Properties
For the density of states at the Fermi level, the calculation gives 0.441 states/eV per atom. Its space group is No. 65. As for the formation energy: 0.21 eV per atom.

The following is a PBE-GGA calculation of a relaxed Er2GeAu crystal, from Alexandria.

Cell and atoms, written as extended XYZ:
```
8
Lattice="-2.485 2.866 2.037 0.001 -3.377 4.754 6.070 5.102 0.227" Properties=species:S:1:pos:R:3 pbc="T T T"
Er 0.756 3.609 2.669
Er 2.830 0.981 4.348
Er -0.179 -1.553 4.242
Er 3.765 6.144 2.775
Ge 0.642 0.671 2.114
Ge 2.944 3.919 4.903
Au -0.084 1.368 4.798
Au 3.670 3.222 2.219
```

Properties
For the density of states at the Fermi level, the calculation gives 0.710 states/eV per atom. Its space group is No. 11. As for the formation energy: -0.85 eV per atom.

The following is a PBE-GGA calculation of a relaxed NpSiS crystal, from Alexandria.

Cell and atoms, written as extended XYZ:
```
6
Lattice="-3.748 -0.360 -0.211 0.114 -2.716 2.613 0.969 7.016 4.529" Properties=species:S:1:pos:R:3 pbc="T T T"
Np -0.602 3.891 4.071
Np -2.063 0.048 2.861
Si 0.057 -1.358 1.307
Si -1.874 -0.180 -0.105
S -0.306 1.977 2.069
S -2.359 1.962 4.863
```

Properties
For the density of states at the Fermi level, the calculation gives 1.852 states/eV per atom. The calculation puts the energy above the lowest structure with this stoichiometry at 0 meV/atom. The formation energy from raw total energies is -251.9 kJ/mol of formula units. Its space group is No. 139.

The following is a PBE-GGA calculation of a relaxed ZnAg3Ru crystal, from Alexandria.

Cell and atoms, written as extended XYZ:
```
5
Lattice="-2.372 3.023 3.334 -2.597 -3.997 1.776 3.675 -0.874 3.407" Properties=species:S:1:pos:R:3 pbc="T T T"
Ru 0.000 0.000 0.000
Zn -0.647 -0.924 4.259
Ag -1.299 -1.999 0.888
Ag 1.838 -0.437 1.704
Ag -1.186 1.511 1.667
```

Properties
For the density of states at the Fermi level, the calculation gives 0.755 states/eV per atom. The calculation puts the energy above the lowest structure with this stoichiometry at 196 meV/atom. Its space group is No. 221. As for the formation energy: 1.31 eV per atom.

The following is a PBE-GGA calculation of a relaxed InAs2Os crystal, from Alexandria.

Cell and atoms, written as extended XYZ:
```
4
Lattice="6.313 -0.003 -0.002 3.864 4.993 0.002 -4.592 -3.507 2.543" Properties=species:S:1:pos:R:3 pbc="T T T"
As 0.680 0.333 0.000
As 4.409 2.161 0.000
Os 2.180 1.990 1.273
In 3.405 -0.508 1.271
```

Properties
For the density of states at the Fermi level, the calculation gives 0.564 states/eV per atom. Its space group is No. 71. As for the formation energy: 0.23 eV per atom.

The following is a PBE-GGA calculation of a relaxed LiThGe crystal, from Alexandria.

Cell and atoms, written as extended XYZ:
```
9
Lattice="4.417 0.000 0.000 -2.208 3.825 0.000 0.000 0.000 11.597" Properties=species:S:1:pos:R:3 pbc="T T T"
Li 0.000 1.234 1.887
Li 0.000 1.234 9.711
Li 2.208 2.509 5.799
Th 0.000 3.784 0.000
Th 0.000 3.784 7.717
Th 0.000 3.784 3.880
Ge 2.208 2.509 2.034
Ge 2.208 2.509 9.563
Ge 0.000 1.235 5.799
```

Properties
For the density of states at the Fermi level, the calculation gives 0.601 states/eV per atom. Its space group is No. 187. As for the formation energy: -0.54 eV per atom.